VASP calculation (PBE-GGA) on an optimized crystal structure of Sc6NiPd12.

a b c (Å): 6.8922 6.8922 6.8922
angles (deg): 93.16 93.16 93.16
Positions (direct):
Pd1 0.6444 0.9633 0.8740
Ni1 0.0000 0.0000 0.0000
Pd2 0.0367 0.1260 0.3556
Pd3 0.1260 0.3556 0.0367
Sc1 0.2537 0.6976 0.8615
Pd4 0.4559 0.5343 0.2074
Sc2 0.1385 0.7463 0.3024
Pd5 0.8740 0.6444 0.9633
Pd6 0.4657 0.7926 0.5441
Sc3 0.3024 0.1385 0.7463
Pd7 0.5441 0.4657 0.7926
Pd8 0.2074 0.4559 0.5343
Pd9 0.9633 0.8740 0.6444
Sc4 0.6976 0.8615 0.2537
Pd10 0.5343 0.2074 0.4559
Sc5 0.8615 0.2537 0.6976
Pd11 0.7926 0.5441 0.4657
Pd12 0.3556 0.0367 0.1260
Sc6 0.7463 0.3024 0.1385

Values from the calculation:
ΔE_f   -13.5 eV/f.u.
Density of states at the Fermi level   0.492 states/eV/atom



VASP calculation (PBE-GGA) on an optimized crystal structure of MnP3Os.

a b c (Å): 4.2653 4.2653 4.2653
angles (deg): 90.00 90.00 90.00
Last column: magnetic moment on the atom in μB.
Positions (direct):
P1 0.0000 0.5000 0.0000  -0.01
Os1 0.5000 0.5000 0.5000  0.10
Mn1 0.0000 0.0000 0.0000  0.00
P2 0.0000 0.0000 0.5000  -0.01
P3 0.5000 0.0000 0.0000  0.00

Values from the calculation:
Polymorph energy (0 for the lowest one)   0 meV per atom
ΔE_f   5.1 eV/f.u.
Density of states at the Fermi level   0.704 states/eV/atom



VASP calculation (PBE-GGA) on an optimized crystal structure of DyY3Tm7.

a b c (Å): 8.5515 6.9677 6.9677
angles (deg): 120.00 90.00 90.00
Positions (direct):
Tm1 0.1200 0.6643 0.8322
Tm2 0.4459 0.8321 0.1679
Y1 0.7837 0.5001 0.4999
Tm3 0.1200 0.1678 0.8322
Tm4 0.4459 0.8321 0.6643
Tm5 0.1202 0.6667 0.3333
Y2 0.7837 0.5001 0.0003
Tm6 0.1200 0.1678 0.3357
Tm7 0.4459 0.3357 0.1679
Dy1 0.4460 0.3333 0.6667
Y3 0.7837 0.9997 0.4999

Values from the calculation:
Polymorph energy (0 for the lowest one)   29 meV per atom
ΔE_f   2.2 eV/f.u.
Density of states at the Fermi level   1.670 states/eV/atom



VASP calculation (PBE-GGA) on an optimized crystal structure of AcLa2SmEr.

a b c (Å): 6.5695 6.6049 9.4059
angles (deg): 110.55 90.00 90.00
Positions (direct):
La1 0.0000 0.2446 0.0000
Sm1 0.7500 0.1550 0.3101
Ac1 0.2500 0.6588 0.3176
La2 0.5000 0.7554 0.0000
Sm2 0.2500 0.8450 0.6899
Er1 0.2500 0.2438 0.4876
Ac2 0.7500 0.3412 0.6824
La3 0.5000 0.2446 0.0000
La4 0.0000 0.7554 0.0000
Er2 0.7500 0.7562 0.5124

Values from the calculation:
ΔE_f   1.8 eV/f.u.
Density of states at the Fermi level   1.491 states/eV/atom



VASP calculation (PBE-GGA) on an optimized crystal structure of Ca2Zn6NiIr.

a b c (Å): 6.6596 6.6596 6.6596
angles (deg): 60.00 60.00 90.00
Positions (direct):
Zn1 0.2426 0.7574 0.0000
Zn2 0.2426 0.2426 0.5149
Zn3 0.7574 0.7574 0.0000
Ca1 0.7500 0.2500 0.5000
Ca2 0.2500 0.7500 0.5000
Zn4 0.2426 0.2426 0.0000
Zn5 0.7574 0.2426 0.0000
Ni1 0.0000 0.0000 0.0000
Ir1 0.5000 0.5000 0.0000
Zn6 0.7574 0.7574 0.4851

Values from the calculation:
ΔE_f   -1.9 eV/f.u.
Density of states at the Fermi level   0.360 states/eV/atom



VASP calculation (PBE-GGA) on an optimized crystal structure of AgP2.

a b c (Å): 4.8285 4.6548 9.3198
angles (deg): 90.00 90.00 90.00
Positions (direct):
Ag1 0.0140 0.2500 0.8726
P1 0.5687 0.2500 0.2445
P2 0.9481 0.7500 0.5070
Ag2 0.5140 0.2500 0.6274
P3 0.4481 0.7500 0.9930
P4 0.9313 0.7500 0.7445
Ag3 0.4860 0.7500 0.3726
P5 0.0519 0.2500 0.4930
P6 0.5519 0.2500 0.0070
P7 0.4313 0.7500 0.7555
Ag4 0.9860 0.7500 0.1274
P8 0.0687 0.2500 0.2555

Values from the calculation:
Polymorph energy (0 for the lowest one)   229 meV per atom
ΔE_f   0.7 eV/f.u.
Density of states at the Fermi level   0.320 states/eV/atom



VASP calculation (PBE-GGA) on an optimized crystal structure of AgSn6Ir.

a b c (Å): 6.2782 7.3323 6.5997
angles (deg): 56.25 70.23 52.49
Positions (direct):
Sn1 0.7515 0.4761 0.5692
Sn2 0.6988 0.7350 0.0000
Sn3 0.7515 0.0454 0.4308
Sn4 0.2485 0.5239 0.4308
Ag1 0.0000 0.0000 0.0000
Ir1 0.5000 0.5000 0.0000
Sn5 0.2485 0.9546 0.5692
Sn6 0.3012 0.2650 0.0000

Values from the calculation:
ΔE_f   0.5 eV/f.u.
Density of states at the Fermi level   0.512 states/eV/atom